Record 1
Material: SrTlGe2H
Method: DFT, meta-GGA SCAN
State: PBEsol geometry

Values from the calculation:
Its symmetry is P4/mmm, No. 123. Its calculated volume is 41.1 A^3/atom. As for the crystal system: tetragonal. As for the raw total energy: -1.8968 Ry/atom.

a b c (Å): 5.6747 5.6747 6.3770
angles (deg): 90.00 90.00 90.00
Element x y z (fractional)
Sr 0.0000 0.0000 0.0000
Tl 0.0000 0.0000 0.5000
Ge 0.0000 0.5000 0.0000
Ge 0.5000 0.0000 0.0000
H 0.5000 0.5000 0.5000


Record 2
Material: TaGeH3
Method: DFT, meta-GGA SCAN
State: PBEsol geometry

Values from the calculation:
Its symmetry is Pm-3m, No. 221. Its calculated volume is 8.5 A^3/atom. As for the crystal system: cubic. As for the raw total energy: -1.3330 Ry/atom.

a b c (Å): 3.4951 3.4951 3.4951
angles (deg): 90.00 90.00 90.00
Element x y z (fractional)
Ta 0.0000 0.0000 0.0000
Ge 0.5000 0.5000 0.5000
H 0.0000 0.5000 0.5000
H 0.5000 0.0000 0.5000
H 0.5000 0.5000 0.0000


Record 3
Material: Ta2GeH2
Method: DFT, meta-GGA SCAN
State: PBEsol geometry

Values from the calculation:
Its symmetry is I4/mmm, No. 139. Its calculated volume is 11.0 A^3/atom. As for the crystal system: tetragonal. As for the raw total energy: -2.3460 Ry/atom.

a b c (Å): 5.8253 5.8253 5.8253
angles (deg): 148.11 148.11 45.72
Element x y z (fractional)
Ta 0.1357 0.1357 0.0000
Ta 0.8643 0.8643 0.0000
Ge 0.5000 0.5000 0.0000
H 0.2500 0.7500 0.5000
H 0.7500 0.2500 0.5000


Record 4
Material: TaGeH2
Method: DFT, meta-GGA SCAN
State: PBEsol geometry

Values from the calculation:
Its symmetry is I-42d, No. 122. Its calculated volume is 10.6 A^3/atom. As for the crystal system: tetragonal. As for the raw total energy: -1.6856 Ry/atom.

a b c (Å): 4.7920 4.7920 4.7920
angles (deg): 107.62 107.62 113.25
Element x y z (fractional)
Ta 0.0000 0.0000 0.0000
Ta 0.7500 0.2500 0.5000
Ge 0.2500 0.7500 0.5000
Ge 0.5000 0.5000 0.0000
H 0.0529 0.6250 0.9279
H 0.3750 0.3029 0.4279
H 0.6971 0.1250 0.0721
H 0.8750 0.9471 0.5721


Record 5
Material: TcGeH3
Method: DFT, meta-GGA SCAN
State: PBEsol geometry

Values from the calculation:
Its symmetry is Pm-3m, No. 221. Its calculated volume is 8.5 A^3/atom. As for the crystal system: cubic. As for the raw total energy: -0.9148 Ry/atom.

a b c (Å): 3.4954 3.4954 3.4954
angles (deg): 90.00 90.00 90.00
Element x y z (fractional)
Tc 0.0000 0.0000 0.0000
Ge 0.5000 0.5000 0.5000
H 0.0000 0.0000 0.5000
H 0.0000 0.5000 0.0000
H 0.5000 0.0000 0.0000


Record 6
Material: TiGe2H
Method: DFT, meta-GGA SCAN
State: PBEsol geometry

Values from the calculation:
Its symmetry is Fm-3m, No. 225. Its calculated volume is 14.4 A^3/atom. As for the crystal system: cubic. As for the raw total energy: -1.0196 Ry/atom.

a b c (Å): 4.3327 4.3327 4.3327
angles (deg): 60.00 60.00 60.00
Element x y z (fractional)
Ti 0.0000 0.0000 0.0000
Ge 0.2500 0.2500 0.2500
Ge 0.7500 0.7500 0.7500
H 0.5000 0.5000 0.5000


Record 7
Material: Ti2GeH
Method: DFT, meta-GGA SCAN
State: PBEsol geometry

Values from the calculation:
Its symmetry is Fm-3m, No. 225. Its calculated volume is 13.2 A^3/atom. As for the crystal system: cubic. As for the raw total energy: -1.0121 Ry/atom.

a b c (Å): 4.2159 4.2159 4.2159
angles (deg): 60.00 60.00 60.00
Element x y z (fractional)
Ti 0.2500 0.2500 0.2500
Ti 0.7500 0.7500 0.7500
Ge 0.0000 0.0000 0.0000
H 0.5000 0.5000 0.5000


Record 8
Material: Ti3GeH
Method: DFT, meta-GGA SCAN
State: PBEsol geometry

Values from the calculation:
Its symmetry is Pm-3m, No. 221. Its calculated volume is 12.7 A^3/atom. As for the crystal system: cubic. The relative energy among the computed polymorphs comes out at 0.000 eV/atom.

a b c (Å): 3.9880 3.9880 3.9880
angles (deg): 90.00 90.00 90.00
Element x y z (fractional)
Ti 0.0000 0.0000 0.5000
Ti 0.0000 0.5000 0.0000
Ti 0.5000 0.0000 0.0000
Ge 0.5000 0.5000 0.5000
H 0.0000 0.0000 0.0000


Record 9
Material: TlGe2H
Method: DFT, meta-GGA SCAN
State: PBEsol geometry

Values from the calculation:
Its symmetry is Fm-3m, No. 225. Its calculated volume is 18.0 A^3/atom. As for the crystal system: cubic. As for the raw total energy: -2.0373 Ry/atom.

a b c (Å): 4.6691 4.6691 4.6691
angles (deg): 60.00 60.00 60.00
Element x y z (fractional)
Tl 0.0000 0.0000 0.0000
Ge 0.2500 0.2500 0.2500
Ge 0.7500 0.7500 0.7500
H 0.5000 0.5000 0.5000


Record 10
Material: GeH2W
Method: DFT, meta-GGA SCAN
State: PBEsol geometry

Values from the calculation:
Its symmetry is Fm-3m, No. 225. Its calculated volume is 9.4 A^3/atom. As for the crystal system: cubic. As for the raw total energy: -1.6673 Ry/atom.

a b c (Å): 3.7544 3.7544 3.7544
angles (deg): 60.00 60.00 60.00
Element x y z (fractional)
Ge 0.0000 0.0000 0.0000
H 0.2500 0.2500 0.2500
H 0.7500 0.7500 0.7500
W 0.5000 0.5000 0.5000


Record 11
Material: Ge2HW2
Method: DFT, meta-GGA SCAN
State: PBEsol geometry

Values from the calculation:
Its symmetry is I4/mmm, No. 139. Its calculated volume is 16.5 A^3/atom. As for the crystal system: tetragonal. As for the raw total energy: -2.5921 Ry/atom.

a b c (Å): 6.6931 6.6931 6.6931
angles (deg): 148.27 148.27 45.48
Element x y z (fractional)
Ge 0.0956 0.0956 0.0000
Ge 0.9044 0.9044 0.0000
H 0.5000 0.5000 0.0000
W 0.2500 0.7500 0.5000
W 0.7500 0.2500 0.5000


Record 12
Material: YGeH2
Method: DFT, meta-GGA SCAN
State: PBEsol geometry

Values from the calculation:
Its symmetry is I-42d, No. 122. Its calculated volume is 13.5 A^3/atom. As for the crystal system: tetragonal. As for the raw total energy: -0.9985 Ry/atom.

a b c (Å): 6.9031 6.9031 6.9031
angles (deg): 144.94 144.94 50.43
Element x y z (fractional)
Y 0.0000 0.0000 0.0000
Y 0.7500 0.2500 0.5000
Ge 0.2500 0.7500 0.5000
Ge 0.5000 0.5000 0.0000
H 0.1383 0.6250 0.0133
H 0.3750 0.3883 0.5133
H 0.6117 0.1250 0.9867
H 0.8750 0.8617 0.4867